Entry 1:
A plane-wave DFT calculation with meta-GGA SCAN was carried out for a PBEsol-optimized structure of Ga2NiO4.

Cell and atoms, written as CIF:
```
data_Ga2NiO4
_chemical_formula_sum 'Ga16 Ni8 O32'
_symmetry_space_group_name_H-M 'P 1'
_symmetry_Int_Tables_number 1
_symmetry_space_group_name_Hall 'P 1'
_cell_length_a 5.839
_cell_length_b 5.839
_cell_length_c 19.234
_cell_angle_alpha 81.76
_cell_angle_beta 81.76
_cell_angle_gamma 60.73
loop_
_atom_site_label
_atom_site_type_symbol
_atom_site_fract_x
_atom_site_fract_y
_atom_site_fract_z
O1 O 0.409 0.409 0.786
O2 O 0.026 0.026 0.403
O3 O 0.032 0.549 0.403
Ga1 Ga 0.468 0.969 0.593
O4 O 0.169 0.169 0.034
Ni1 Ni 0.844 0.844 0.469
O5 O 0.390 0.906 0.783
O6 O 0.799 0.281 0.653
O7 O 0.887 0.407 0.285
Ni2 Ni 0.094 0.094 0.718
Ga2 Ga 0.744 0.744 0.750
Ga3 Ga 0.722 0.217 0.842
O8 O 0.281 0.799 0.653
O9 O 0.627 0.164 0.034
O10 O 0.407 0.887 0.285
O11 O 0.526 0.053 0.905
O12 O 0.781 0.300 0.154
O13 O 0.300 0.781 0.154
O14 O 0.658 0.658 0.037
Ga4 Ga 0.693 0.693 0.938
Ni3 Ni 0.719 0.719 0.344
Ga5 Ga 0.971 0.468 0.095
O15 O 0.138 0.656 0.534
Ga6 Ga 0.245 0.245 0.253
O16 O 0.779 0.779 0.651
O17 O 0.524 0.524 0.905
O18 O 0.276 0.276 0.653
O19 O 0.029 0.029 0.897
Ga7 Ga 0.443 0.443 0.685
Ga8 Ga 0.219 0.719 0.344
Ga9 Ga 0.343 0.343 0.971
O20 O 0.529 0.529 0.402
Ni4 Ni 0.969 0.969 0.593
O21 O 0.909 0.909 0.285
O22 O 0.909 0.909 0.783
O23 O 0.158 0.158 0.535
Ga10 Ga 0.217 0.722 0.842
Ga11 Ga 0.719 0.219 0.344
Ni5 Ni 0.594 0.594 0.219
Ni6 Ni 0.995 0.995 0.001
O24 O 0.549 0.032 0.403
O25 O 0.656 0.138 0.534
Ga12 Ga 0.969 0.468 0.593
Ga13 Ga 0.494 0.494 0.501
Ga14 Ga 0.468 0.971 0.095
O26 O 0.164 0.627 0.034
O27 O 0.777 0.777 0.153
O28 O 0.661 0.661 0.534
Ga15 Ga 0.943 0.943 0.186
Ni7 Ni 0.469 0.469 0.094
O29 O 0.053 0.526 0.905
O30 O 0.906 0.390 0.783
O31 O 0.412 0.412 0.285
Ni8 Ni 0.217 0.217 0.843
O32 O 0.280 0.280 0.154
Ga16 Ga 0.193 0.193 0.436
```

SG: Cm (8)
E: -695.39 eV per cell
energy above the lowest structure with this stoichiometry: 15 meV per atom

---

Entry 2:
A plane-wave DFT calculation with meta-GGA SCAN was carried out for a PBEsol-optimized structure of Li2BF5.

Cell and atoms, written as CIF:
```
data_Li2BF5
_chemical_formula_sum 'Li4 B2 F10'
_symmetry_space_group_name_H-M 'P 1'
_symmetry_Int_Tables_number 1
_symmetry_space_group_name_Hall 'P 1'
_cell_length_a 5.192
_cell_length_b 5.192
_cell_length_c 6.965
_cell_angle_alpha 111.88
_cell_angle_beta 111.88
_cell_angle_gamma 90.00
loop_
_atom_site_label
_atom_site_type_symbol
_atom_site_fract_x
_atom_site_fract_y
_atom_site_fract_z
F1 F 0.959 0.683 0.365
Li1 Li 0.125 0.375 0.750
F2 F 0.317 0.041 0.635
F3 F 0.750 0.250 0.500
F4 F 0.317 0.594 0.635
F5 F 0.844 0.067 0.135
B1 B 0.000 0.000 0.000
F6 F 0.500 0.500 0.000
Li2 Li 0.625 0.375 0.750
F7 F 0.406 0.683 0.365
F8 F 0.933 0.156 0.865
F9 F 0.933 0.709 0.865
F10 F 0.291 0.067 0.135
Li3 Li 0.625 0.375 0.250
B2 B 0.250 0.750 0.500
Li4 Li 0.625 0.875 0.250
```

SG: I4_1/amd (141)
E: -109.48 eV per cell

---

Entry 3:
A plane-wave DFT calculation with meta-GGA SCAN was carried out for a PBEsol-optimized structure of ScIn2Tc.

Cell and atoms, written as CIF:
```
data_ScIn2Tc
_chemical_formula_sum 'Sc1 In2 Tc1'
_symmetry_space_group_name_H-M 'P 1'
_symmetry_Int_Tables_number 1
_symmetry_space_group_name_Hall 'P 1'
_cell_length_a 3.114
_cell_length_b 3.114
_cell_length_c 9.490
_cell_angle_alpha 80.56
_cell_angle_beta 80.56
_cell_angle_gamma 60.00
loop_
_atom_site_label
_atom_site_type_symbol
_atom_site_fract_x
_atom_site_fract_y
_atom_site_fract_z
In1 In 0.257 0.257 0.228
Sc1 Sc 0.500 0.500 0.500
Tc1 Tc 0.000 0.000 0.000
In2 In 0.743 0.743 0.772
```

SG: R-3m (166)
E: -115.60 eV per cell
energy above the lowest structure with this stoichiometry: 276 meV per atom
calculated formation energy: 2.69 kcal/mol of atoms

---

Entry 4:
A plane-wave DFT calculation with meta-GGA SCAN was carried out for a PBEsol-optimized structure of CsLiSe2.

Cell and atoms, written as CIF:
```
data_CsLiSe2
_chemical_formula_sum 'Cs2 Li2 Se4'
_symmetry_space_group_name_H-M 'P 1'
_symmetry_Int_Tables_number 1
_symmetry_space_group_name_Hall 'P 1'
_cell_length_a 5.415
_cell_length_b 5.415
_cell_length_c 9.215
_cell_angle_alpha 107.09
_cell_angle_beta 107.09
_cell_angle_gamma 90.00
loop_
_atom_site_label
_atom_site_type_symbol
_atom_site_fract_x
_atom_site_fract_y
_atom_site_fract_z
Se1 Se 0.625 0.375 0.250
Se2 Se 0.625 0.875 0.250
Cs1 Cs 0.250 0.750 0.500
Se3 Se 0.625 0.375 0.750
Se4 Se 0.125 0.375 0.750
Li1 Li 0.750 0.250 0.500
Cs2 Cs 0.000 0.000 0.000
Li2 Li 0.500 0.500 0.000
```

SG: I4_1/amd (141)
E: -169.23 eV per cell

---

Entry 5:
A plane-wave DFT calculation with meta-GGA SCAN was carried out for a PBEsol-optimized structure of Zn3CrI.

Cell and atoms, written as CIF:
```
data_Zn3CrI
_chemical_formula_sum 'Zn3 Cr1 I1'
_symmetry_space_group_name_H-M 'P 1'
_symmetry_Int_Tables_number 1
_symmetry_space_group_name_Hall 'P 1'
_cell_length_a 5.009
_cell_length_b 5.009
_cell_length_c 5.009
_cell_angle_alpha 90.00
_cell_angle_beta 90.00
_cell_angle_gamma 90.00
loop_
_atom_site_label
_atom_site_type_symbol
_atom_site_fract_x
_atom_site_fract_y
_atom_site_fract_z
Zn1 Zn 0.000 0.500 0.000
Zn2 Zn 0.500 0.000 0.000
Cr1 Cr 0.000 0.000 0.000
I1 I 0.500 0.500 0.500
Zn3 Zn 0.000 0.000 0.500
```

SG: Pm-3m (221)
E: -93.17 eV per cell

---

Entry 6:
A plane-wave DFT calculation with meta-GGA SCAN was carried out for a PBEsol-optimized structure of AlHgPb2.

Cell and atoms, written as CIF:
```
data_AlHgPb2
_chemical_formula_sum 'Al1 Hg1 Pb2'
_symmetry_space_group_name_H-M 'P 1'
_symmetry_Int_Tables_number 1
_symmetry_space_group_name_Hall 'P 1'
_cell_length_a 5.235
_cell_length_b 5.235
_cell_length_c 5.235
_cell_angle_alpha 60.00
_cell_angle_beta 60.00
_cell_angle_gamma 60.00
loop_
_atom_site_label
_atom_site_type_symbol
_atom_site_fract_x
_atom_site_fract_y
_atom_site_fract_z
Pb1 Pb 0.250 0.250 0.250
Pb2 Pb 0.750 0.750 0.750
Al1 Al 0.000 0.000 0.000
Hg1 Hg 0.500 0.500 0.500
```

SG: Fm-3m (225)
E: -226.66 eV per cell
energy above the lowest structure with this stoichiometry: 128 meV per atom
calculated formation energy: 4.70 kcal/mol of atoms

---

Entry 7:
A plane-wave DFT calculation with meta-GGA SCAN was carried out for a PBEsol-optimized structure of SrCuRu.

Cell and atoms, written as CIF:
```
data_SrCuRu
_chemical_formula_sum 'Sr1 Cu1 Ru1'
_symmetry_space_group_name_H-M 'P 1'
_symmetry_Int_Tables_number 1
_symmetry_space_group_name_Hall 'P 1'
_cell_length_a 3.345
_cell_length_b 3.345
_cell_length_c 5.699
_cell_angle_alpha 107.06
_cell_angle_beta 107.06
_cell_angle_gamma 90.00
loop_
_atom_site_label
_atom_site_type_symbol
_atom_site_fract_x
_atom_site_fract_y
_atom_site_fract_z
Cu1 Cu 0.952 0.952 0.904
Ru1 Ru 0.380 0.380 0.761
Sr1 Sr 0.668 0.668 0.335
```

SG: I4mm (107)
E: -71.02 eV per cell
calculated formation energy: 9.86 kcal/mol of atoms

---

Entry 8:
A plane-wave DFT calculation with meta-GGA SCAN was carried out for a PBEsol-optimized structure of LiZr2P3O12.

Cell and atoms, written as CIF:
```
data_LiZr2P3O12
_chemical_formula_sum 'Li2 Zr4 P6 O24'
_symmetry_space_group_name_H-M 'P 1'
_symmetry_Int_Tables_number 1
_symmetry_space_group_name_Hall 'P 1'
_cell_length_a 8.903
_cell_length_b 9.010
_cell_length_c 8.933
_cell_angle_alpha 59.71
_cell_angle_beta 60.59
_cell_angle_gamma 59.60
loop_
_atom_site_label
_atom_site_type_symbol
_atom_site_fract_x
_atom_site_fract_y
_atom_site_fract_z
O1 O 0.963 0.305 0.095
O2 O 0.542 0.287 0.742
Zr1 Zr 0.638 0.146 0.575
O3 O 0.922 0.787 0.245
P1 P 0.749 0.962 0.251
Zr2 Zr 0.352 0.869 0.414
Zr3 Zr 0.138 0.632 0.075
O4 O 0.707 0.440 0.748
O5 O 0.440 0.729 0.237
O6 O 0.017 0.698 0.895
O7 O 0.207 0.096 0.248
O8 O 0.088 0.207 0.768
O9 O 0.589 0.927 0.268
O10 O 0.211 0.863 0.919
O11 O 0.101 0.804 0.548
O12 O 0.517 0.381 0.395
O13 O 0.768 0.899 0.756
P2 P 0.960 0.747 0.736
Li1 Li 0.543 0.830 0.940
O14 O 0.940 0.585 0.737
O15 O 0.711 0.998 0.419
P3 P 0.460 0.548 0.236
O16 O 0.463 0.628 0.595
O17 O 0.780 0.127 0.078
P4 P 0.249 0.029 0.751
P5 P 0.522 0.460 0.755
O18 O 0.268 0.568 0.256
O19 O 0.602 0.537 0.048
O20 O 0.281 0.006 0.578
O21 O 0.876 0.198 0.437
O22 O 0.376 0.480 0.937
P6 P 0.022 0.254 0.255
O23 O 0.042 0.420 0.242
Li2 Li 0.043 0.678 0.440
O24 O 0.422 0.037 0.745
Zr4 Zr 0.852 0.356 0.914
```

SG: Cc (9)
E: -447.57 eV per cell
energy above the lowest structure with this stoichiometry: 11 meV per atom

---

Entry 9:
A plane-wave DFT calculation with meta-GGA SCAN was carried out for a PBEsol-optimized structure of ScNi2W.

Cell and atoms, written as CIF:
```
data_ScNi2W
_chemical_formula_sum 'Sc1 Ni2 W1'
_symmetry_space_group_name_H-M 'P 1'
_symmetry_Int_Tables_number 1
_symmetry_space_group_name_Hall 'P 1'
_cell_length_a 2.735
_cell_length_b 4.242
_cell_length_c 4.771
_cell_angle_alpha 90.00
_cell_angle_beta 97.78
_cell_angle_gamma 90.00
loop_
_atom_site_label
_atom_site_type_symbol
_atom_site_fract_x
_atom_site_fract_y
_atom_site_fract_z
Sc1 Sc 0.468 0.000 0.424
W1 W 0.266 0.500 0.827
Ni1 Ni 0.909 0.500 0.292
Ni2 Ni 0.857 0.000 0.957
```

SG: Pm (6)
E: -116.74 eV per cell
energy above the lowest structure with this stoichiometry: 0 meV per atom
calculated formation energy: -2.72 kcal/mol of atoms

---

Entry 10:
A plane-wave DFT calculation with meta-GGA SCAN was carried out for a PBEsol-optimized structure of FeCuPt2.

Cell and atoms, written as CIF:
```
data_FeCuPt2
_chemical_formula_sum 'Fe1 Cu1 Pt2'
_symmetry_space_group_name_H-M 'P 1'
_symmetry_Int_Tables_number 1
_symmetry_space_group_name_Hall 'P 1'
_cell_length_a 2.689
_cell_length_b 3.774
_cell_length_c 5.296
_cell_angle_alpha 90.00
_cell_angle_beta 90.00
_cell_angle_gamma 90.00
loop_
_atom_site_label
_atom_site_type_symbol
_atom_site_fract_x
_atom_site_fract_y
_atom_site_fract_z
Fe1 Fe 0.500 0.500 0.749
Pt1 Pt 0.500 0.500 0.272
Cu1 Cu 0.000 0.000 0.499
Pt2 Pt 0.000 0.000 0.980
```

SG: Pmm2 (25)
E: -174.71 eV per cell
calculated formation energy: -5.72 kcal/mol of atoms

---

The highest E belongs to which entry?
SrCuRu